1.
Crystalline Ho3TmS4 at its relaxed geometry. Source: Alexandria, functional PBE.

a b c (Å): 5.478 5.478 5.478
angles (deg): 90.00 90.00 90.00
Space group Pm-3m (No. 221)
Symmetry-distinct sites (fractional):
1 Ho 0.000 0.000 0.500 [3 per cell]
2 Tm 0.500 0.500 0.500 [1 per cell]
3 S 0.000 0.000 0.000 [1 per cell]
4 S 0.000 0.500 0.500 [3 per cell]

Summary:
**Formation energy from raw total energies**: -1950 meV/atom
**DFT total energy**: -50.3 eV/cell
**ΔE to the lowest computed polymorph**: 10.1 meV per atom



2.
Crystalline Ho6Tm2S3 at its relaxed geometry. Source: Alexandria, functional PBE.

a b c (Å): 3.7104 3.7104 72.6393
angles (deg): 90.00 90.00 120.00
Space group R-3m (No. 166, hexagonal axes)
Symmetry-distinct sites (fractional):
1 Ho 0.0000 0.0000 0.0694 [6 per cell]
2 Ho 0.0000 0.0000 0.1858 [6 per cell]
3 Ho 0.0000 0.0000 0.3570 [6 per cell]
4 Tm 0.0000 0.0000 0.4421 [6 per cell]
5 S 0.0000 0.0000 0.0000 [3 per cell]
6 S 0.0000 0.0000 0.2872 [6 per cell]

Summary:
**Formation energy from raw total energies**: -1027 meV/atom
**DFT total energy**: -180.3 eV/cell